Entry from Alexandria via LeMat-Bulk: an optimized crystal structure of BaTiP2O (PBE).

Summary:
Total magnetization (μB/atom): 0.010
Density (g cm⁻³): 3.38
Density of states at the Fermi level (states/eV/f.u.): 6.55
Raw formation energy (kcal/mol of atoms): 21.917

Cell and atoms, written as CIF:
```
data_BaTiP2O
_cell_length_a 5.509
_cell_length_b 5.509
_cell_length_c 4.264
_cell_angle_alpha 90.00
_cell_angle_beta 90.00
_cell_angle_gamma 90.00
_symmetry_space_group_name_H-M 'P 1'
_symmetry_Int_Tables_number 1
loop_
_symmetry_equiv_pos_as_xyz
'x,y,z'
loop_
_atom_site_label
_atom_site_fract_x
_atom_site_fract_y
_atom_site_fract_z
_atom_site_occupancy
P1 0.000 0.500 0.000 1
P2 0.500 0.000 0.000 1
Ba1 0.000 0.000 0.000 1
O1 0.000 0.000 0.500 1
Ti1 0.500 0.500 0.500 1
```


Entry from Alexandria via LeMat-Bulk: an optimized crystal structure of BaTlP2O (PBE).

Summary:
Total magnetization (μB/atom): 0.950
Density (g cm⁻³): 3.70
Density of states at the Fermi level (states/eV/f.u.): 3.63
Raw formation energy (kcal/mol of atoms): 11.685

Cell and atoms, written as CIF:
```
data_BaTlP2O
_cell_length_a 6.353
_cell_length_b 6.353
_cell_length_c 4.666
_cell_angle_alpha 90.00
_cell_angle_beta 90.00
_cell_angle_gamma 90.00
_symmetry_space_group_name_H-M 'P 1'
_symmetry_Int_Tables_number 1
loop_
_symmetry_equiv_pos_as_xyz
'x,y,z'
loop_
_atom_site_label
_atom_site_fract_x
_atom_site_fract_y
_atom_site_fract_z
_atom_site_occupancy
P1 0.000 0.500 0.000 1
P2 0.500 0.000 0.000 1
Tl1 0.500 0.500 0.500 1
Ba1 0.000 0.000 0.000 1
O1 0.000 0.000 0.500 1
```


Entry from Alexandria via LeMat-Bulk: an optimized crystal structure of BaTlP2O (PBE).

Summary:
Total magnetization (μB/atom): 0.381
Density (g cm⁻³): 5.52
Density of states at the Fermi level (states/eV/f.u.): 4.26
Raw formation energy (kcal/mol of atoms): 0.607

Cell and atoms, written as CIF:
```
data_BaTlP2O
_cell_length_a 5.255
_cell_length_b 5.255
_cell_length_c 4.569
_cell_angle_alpha 90.00
_cell_angle_beta 90.00
_cell_angle_gamma 90.00
_symmetry_space_group_name_H-M 'P 1'
_symmetry_Int_Tables_number 1
loop_
_symmetry_equiv_pos_as_xyz
'x,y,z'
loop_
_atom_site_label
_atom_site_fract_x
_atom_site_fract_y
_atom_site_fract_z
_atom_site_occupancy
P1 0.000 0.500 0.000 1
P2 0.500 0.000 0.000 1
Tl1 0.000 0.000 0.000 1
Ba1 0.500 0.500 0.500 1
O1 0.000 0.000 0.500 1
```


| no. | E_tot (eV/atom) |
| --- | --- |
| 1 | -4.169 |
| 2 | -3.507 |
| 3 | -3.987 |